Record 1
A geometry-optimized Nd12InPd6 structure, computed with PBE-GGA.

- Energy: -101.36 eV/cell

Cell: 8.9446 8.9446 8.9446 Å, 109.47 109.47 109.47°
Atoms (fractional coordinates):
Nd 0.1161 0.8163 0.2997
Nd 0.1837 0.2997 0.4834
Nd 0.1837 0.7003 0.8839
Nd 0.2997 0.1161 0.8163
Nd 0.2997 0.4834 0.1837
Nd 0.4834 0.1837 0.2997
Nd 0.5166 0.8163 0.7003
Nd 0.7003 0.5166 0.8163
Nd 0.7003 0.8839 0.1837
Nd 0.8163 0.2997 0.1161
Nd 0.8163 0.7003 0.5166
Nd 0.8839 0.1837 0.7003
In 0.0000 0.0000 0.0000
Pd 0.1332 0.6332 0.5000
Pd 0.3668 0.5000 0.8668
Pd 0.5000 0.1332 0.6332
Pd 0.5000 0.8668 0.3668
Pd 0.6332 0.5000 0.1332
Pd 0.8668 0.3668 0.5000

Record 2
A geometry-optimized NdIn2Pd structure, computed with PBE-GGA.

- Energy: -180.58 eV/cell

Cell: 11.0236 11.0236 11.0236 Å, 100.30 100.30 129.97°
Atoms (fractional coordinates):
Nd 0.0000 0.0000 0.0000
Nd 0.0748 0.3553 0.2805
Nd 0.0748 0.7943 0.7195
Nd 0.3553 0.0748 0.2805
Nd 0.3863 0.3863 0.5947
Nd 0.3863 0.7916 0.0000
Nd 0.4687 0.4687 0.0000
Nd 0.7916 0.3863 0.0000
Nd 0.7916 0.7916 0.4053
Nd 0.7943 0.0748 0.7195
In 0.1090 0.1090 0.7344
In 0.1090 0.3746 0.0000
In 0.1973 0.6899 0.2106
In 0.1973 0.9868 0.5075
In 0.2155 0.5986 0.6170
In 0.3746 0.1090 0.0000
In 0.3746 0.3746 0.2656
In 0.4793 0.6899 0.4925
In 0.4793 0.9868 0.7894
In 0.5794 0.7435 0.8359
In 0.5986 0.2155 0.6170
In 0.5986 0.9816 0.3830
In 0.6899 0.1973 0.2106
In 0.6899 0.4793 0.4925
In 0.7435 0.5794 0.8359
In 0.7435 0.9076 0.1641
In 0.9076 0.7435 0.1641
In 0.9816 0.5986 0.3830
In 0.9868 0.1973 0.5075
In 0.9868 0.4793 0.7894
Pd 0.0870 0.0870 0.3200
Pd 0.0870 0.7670 0.0000
Pd 0.2184 0.4351 0.7833
Pd 0.3466 0.8466 0.5000
Pd 0.4351 0.2184 0.7833
Pd 0.4351 0.6518 0.2167
Pd 0.6518 0.4351 0.2167
Pd 0.7670 0.0870 0.0000
Pd 0.7670 0.7670 0.6800
Pd 0.8466 0.3466 0.5000

Record 3
A geometry-optimized NdIn12Pd6 structure, computed with PBE-GGA.

- Energy: -75.08 eV/cell

Cell: 7.8686 7.8686 7.8686 Å, 105.14 105.14 105.14°
Atoms (fractional coordinates):
Nd 0.0000 0.0000 0.0000
In 0.1161 0.5000 0.8839
In 0.1161 0.8839 0.5000
In 0.1483 0.4013 0.4013
In 0.4013 0.1483 0.4013
In 0.4013 0.4013 0.1483
In 0.5000 0.1161 0.8839
In 0.5000 0.8839 0.1161
In 0.5987 0.5987 0.8517
In 0.5987 0.8517 0.5987
In 0.8517 0.5987 0.5987
In 0.8839 0.1161 0.5000
In 0.8839 0.5000 0.1161
Pd 0.2814 0.2814 0.7073
Pd 0.2814 0.7073 0.2814
Pd 0.2927 0.7186 0.7186
Pd 0.7073 0.2814 0.2814
Pd 0.7186 0.2927 0.7186
Pd 0.7186 0.7186 0.2927

Record 4
A geometry-optimized Nd12InPd5 structure, computed with PBE-GGA.

- Energy: -94.85 eV/cell

Cell: 8.8135 8.8135 8.8135 Å, 112.75 110.15 105.60°
Atoms (fractional coordinates):
Nd 0.0356 0.2236 0.8121
Nd 0.1796 0.2888 0.4684
Nd 0.1796 0.7112 0.8908
Nd 0.3258 0.0243 0.6985
Nd 0.3258 0.6273 0.3015
Nd 0.4115 0.2236 0.1879
Nd 0.5885 0.7764 0.8121
Nd 0.6742 0.3727 0.6985
Nd 0.6742 0.9757 0.3015
Nd 0.8204 0.2888 0.1092
Nd 0.8204 0.7112 0.5316
Nd 0.9644 0.7764 0.1879
In 0.5000 0.5000 0.0000
Pd 0.0000 0.0000 0.0000
Pd 0.1306 0.6306 0.5000
Pd 0.3538 0.0000 0.3538
Pd 0.6462 0.0000 0.6462
Pd 0.8694 0.3694 0.5000

Record 5
A geometry-optimized Nd3In2Pd6 structure, computed with PBE-GGA.

- Energy: -118.17 eV/cell

Cell: 8.4915 8.4915 8.4915 Å, 109.47 109.47 109.47°
Atoms (fractional coordinates):
Nd 0.0000 0.2901 0.2901
Nd 0.0000 0.7099 0.7099
Nd 0.2901 0.0000 0.2901
Nd 0.2901 0.2901 0.0000
Nd 0.7099 0.0000 0.7099
Nd 0.7099 0.7099 0.0000
In 0.0000 0.0000 0.5000
In 0.0000 0.5000 0.0000
In 0.5000 0.0000 0.0000
In 0.5000 0.5000 0.5000
Pd 0.0000 0.3431 0.6569
Pd 0.0000 0.6569 0.3431
Pd 0.3138 0.6569 0.6569
Pd 0.3431 0.0000 0.6569
Pd 0.3431 0.3431 0.6862
Pd 0.3431 0.6569 0.0000
Pd 0.3431 0.6862 0.3431
Pd 0.6569 0.0000 0.3431
Pd 0.6569 0.3138 0.6569
Pd 0.6569 0.3431 0.0000
Pd 0.6569 0.6569 0.3138
Pd 0.6862 0.3431 0.3431

Record 6
A geometry-optimized NdIn2Pd structure, computed with PBE-GGA.

- Energy: -17.45 eV/cell

Cell: 3.4561 3.4561 7.6838 Å, 90.00 90.00 90.00°
Atoms (fractional coordinates):
Nd 0.0000 0.0000 0.0000
In 0.5000 0.5000 0.2995
In 0.5000 0.5000 0.7005
Pd 0.0000 0.0000 0.5000

Record 7
A geometry-optimized NdIn5Pd7 structure, computed with PBE-GGA.

- Energy: -60.43 eV/cell

Cell: 7.2053 7.2053 7.2053 Å, 131.89 96.51 102.64°
Atoms (fractional coordinates):
Nd 0.0000 0.0000 0.0000
In 0.0070 0.4964 0.0180
In 0.0070 0.9890 0.5106
In 0.4784 0.4964 0.4894
In 0.4784 0.9890 0.9820
In 0.7776 0.2776 0.5000
Pd 0.2048 0.4876 0.7172
Pd 0.2075 0.7075 0.5000
Pd 0.3417 0.3417 0.0000
Pd 0.3440 0.0003 0.3437
Pd 0.6566 0.0003 0.6563
Pd 0.6671 0.6671 0.0000
Pd 0.7704 0.4876 0.2828

Record 8
A geometry-optimized Nd2In5Pd3 structure, computed with PBE-GGA.

- ΔE to the lowest computed polymorph: 1.07 kcal/mol of atoms

Cell: 9.3308 9.3308 9.3308 Å, 108.42 84.20 141.72°
Atoms (fractional coordinates):
Nd 0.1538 0.2156 0.3694
Nd 0.3462 0.7156 0.0618
Nd 0.6538 0.2844 0.9382
Nd 0.8462 0.7844 0.6306
In 0.0482 0.7500 0.2982
In 0.0773 0.6839 0.7612
In 0.2500 0.2500 0.0000
In 0.4227 0.1839 0.6066
In 0.4518 0.7500 0.7018
In 0.5482 0.2500 0.2982
In 0.5773 0.8161 0.3934
In 0.7500 0.7500 0.0000
In 0.9227 0.3161 0.2388
In 0.9518 0.2500 0.7018
Pd 0.1499 0.9108 0.0607
Pd 0.2500 0.7500 0.5000
Pd 0.3501 0.4108 0.7609
Pd 0.6499 0.5892 0.2391
Pd 0.7500 0.2500 0.5000
Pd 0.8501 0.0892 0.9393

Record 9
A geometry-optimized NdInPd structure, computed with PBE-GGA.

- Energy: -14.71 eV/cell

Cell: 4.7645 4.7645 3.6998 Å, 90.00 90.00 120.00°
Atoms (fractional coordinates):
Nd 0.0000 0.0000 0.0000
In 0.3333 0.6667 0.5000
Pd 0.6667 0.3333 0.5000

Record 10
A geometry-optimized Nd4InPd2 structure, computed with PBE-GGA.

- Energy: -35.36 eV/cell

Cell: 9.9439 9.9439 9.9439 Å, 29.18 29.18 29.18°
Atoms (fractional coordinates):
Nd 0.1168 0.1168 0.1168
Nd 0.2946 0.2946 0.2946
Nd 0.7054 0.7054 0.7054
Nd 0.8832 0.8832 0.8832
In 0.5000 0.5000 0.5000
Pd 0.3998 0.3998 0.3998
Pd 0.6002 0.6002 0.6002

Record 11
A geometry-optimized Nd3In3Pd2 structure, computed with PBE-GGA.

- Energy: -37.92 eV/cell

Cell: 8.9658 8.9658 5.2482 Å, 101.76 101.76 29.85°
Atoms (fractional coordinates):
Nd 0.0000 0.0000 0.0000
Nd 0.1570 0.1570 0.5985
Nd 0.8430 0.8430 0.4015
In 0.3625 0.3625 0.9074
In 0.5000 0.5000 0.5000
In 0.6375 0.6375 0.0926
Pd 0.2286 0.2286 0.1455
Pd 0.7714 0.7714 0.8545

Record 12
A geometry-optimized Nd2InPd5 structure, computed with PBE-GGA.

- Energy: -43.64 eV/cell

Cell: 5.9975 5.9975 5.9975 Å, 114.92 114.92 99.06°
Atoms (fractional coordinates):
Nd 0.0000 0.5000 0.5000
Nd 0.5000 0.0000 0.5000
In 0.3650 0.3650 0.0000
Pd 0.0063 0.0063 0.0000
Pd 0.5219 0.5219 0.5656
Pd 0.5219 0.9563 0.0000
Pd 0.9563 0.5219 0.0000
Pd 0.9563 0.9563 0.4344